# 1
An optimized crystal structure of RbTeF2. Source: Alexandria, functional PBEsol.

Summary:
SG = Fm-3m, No. 225
Magnetic moment = 3.001 Bohr magnetons per cell
Formation energy (no corrections) = -114 kJ/mol of atoms

Cell: 4.8705 4.8705 4.8705 Å, 60.00 60.00 60.00°
With the nearest neighbours (Å) after each atom.
Sites, in units of the cell vectors:
Te 0.5000 0.5000 0.5000  8 F 2.98
F 0.7500 0.7500 0.7500  4 Te 2.98, 4 Rb 2.98
F 0.2500 0.2500 0.2500  4 Te 2.98, 4 Rb 2.98
Rb 0.0000 0.0000 0.0000  8 F 2.98


# 2
An optimized crystal structure of K4Ru2Cl10O. Source: Alexandria, functional PBEsol.

Summary:
SG = I4/mmm, No. 139
Magnetic moment = 0.000 Bohr magnetons per cell
Formation energy (no corrections) = -126 kJ/mol of atoms

Cell: 7.0938 7.0938 9.8216 Å, 111.17 111.17 90.00°
With the nearest neighbours (Å) after each atom.
Sites, in units of the cell vectors:
O 0.0000 0.0000 0.0000  2 Ru 1.78
K 0.2500 0.7500 0.5000  12 Cl 3.41-3.55
K 0.0000 0.5000 0.0000  8 Cl 3.16
K 0.7500 0.2500 0.5000  12 Cl 3.41-3.55
K 0.5000 0.0000 0.0000  8 Cl 3.16
Cl 0.2419 0.2419 0.4837  1 Ru 2.30
Cl 0.7581 0.7581 0.5163  1 Ru 2.30
Cl 0.8789 0.3489 0.2278  1 Ru 2.36
Cl 0.3489 0.8789 0.2278  1 Ru 2.36
Cl 0.3489 0.3489 0.2278  1 Ru 2.36
Cl 0.1211 0.6511 0.7722  1 Ru 2.36
Cl 0.6511 0.6511 0.7722  1 Ru 2.36
Cl 0.6511 0.1211 0.7722  1 Ru 2.36
Cl 0.8789 0.8789 0.2278  1 Ru 2.36
Cl 0.1211 0.1211 0.7722  1 Ru 2.36
Ru 0.8944 0.8944 0.7889  1 O 1.78
Ru 0.1056 0.1056 0.2111  1 O 1.78


# 3
An optimized crystal structure of LiMnSi4. Source: Alexandria, functional PBEsol.

Summary:
SG = F-43m, No. 216
Magnetic moment = 3.916 Bohr magnetons per cell
Formation energy (no corrections) = 20 kJ/mol of atoms

Cell: 4.9381 4.9381 4.9381 Å, 60.00 60.00 60.00°
With the nearest neighbours (Å) after each atom.
Sites, in units of the cell vectors:
Si 0.8737 0.3754 0.3754  6 Si 2.46-2.48
Si 0.3754 0.8737 0.3754  6 Si 2.46-2.48
Si 0.3754 0.3754 0.3754  6 Si 2.46-2.48
Si 0.3754 0.3754 0.8737  6 Si 2.46-2.48
Li 0.7500 0.7500 0.7500  12 Si 2.89, 4 Mn 3.02
Mn 0.0000 0.0000 0.0000  12 Si 2.90, 4 Li 3.02


Question: What is the formula in the third record?
Answer: LiMnSi4